Here is a relaxed structure of TbPmSm5Er2 from Alexandria. Energies are from PBE.

## Properties
D(E_F) = 1.58 states/eV per atom
Total energy = -4.528 eV per atom
Mass density = 7.6 g cm⁻³
Spin magnetization = 0.001 μB per formula unit

Geometry as CIF:
```
data_TbPmSm5Er2
_cell_length_a 5.641
_cell_length_b 20.206
_cell_length_c 10.671
_cell_angle_alpha 90.00
_cell_angle_beta 90.00
_cell_angle_gamma 90.00
_space_group_name_H-M_alt 'C m c 21'
_space_group_IT_number 36
loop_
_space_group_symop_operation_xyz
'x,y,z'
'-x,-y,z+1/2'
'-x,y,z'
'x,-y,z+1/2'
'x+1/2,y+1/2,z'
'-x+1/2,-y+1/2,z+1/2'
'-x+1/2,y+1/2,z'
'x+1/2,-y+1/2,z+1/2'
loop_
_atom_site_label
_atom_site_fract_x
_atom_site_fract_y
_atom_site_fract_z
Tb1 0.000 0.088 0.000
Pm1 0.000 0.299 0.555
Sm1 0.000 0.021 0.286
Sm2 0.000 0.108 0.570
Sm3 0.000 0.202 0.251
Sm4 0.000 0.219 0.854
Sm5 0.000 0.483 0.569
Er1 0.000 0.384 0.864
Er2 0.000 0.390 0.282
```